! PBE Ga4CoIr2, relaxed; values from VASP
! ΔE_f: -0.37 eV per atom
! Symmetry: R-3m (166)
! Density of states at the Fermi level: 0.637 states/eV/atom
! Total energy: -5.645 eV per atom
! Excess energy over the best structure of this formula in the dataset: 0 meV/atom
! Total moment: 0.0001 μB/atom
&SYSTEM
  ibrav = 0, nat = 7, ntyp = 3
/
ATOMIC_SPECIES
Ga 69.72 Ga.upf
Co 58.93 Co.upf
Ir 192.22 Ir.upf
CELL_PARAMETERS angstrom
2.1174 1.2225 6.7619
-2.1174 1.2225 6.7619
0.0000 -2.4449 6.7619
ATOMIC_POSITIONS angstrom
Ga 0.0000 0.0000 2.3884
Ga 0.0000 0.0000 7.5354
Ga 0.0000 0.0000 12.7502
Ga 0.0000 0.0000 17.8973
Co 0.0000 0.0000 10.1428
Ir 0.0000 0.0000 4.9769
Ir 0.0000 0.0000 15.3088